# Cr5Au PBEsol relaxed
data_Cr5Au
_space_group_name_H-M_alt 'P 6/m m m'
_space_group_IT_number 191
_space_group_name_Hall '-P 6 2'
_cell_length_a 4.7744
_cell_length_b 4.7744
_cell_length_c 3.8698
_cell_angle_alpha 90.00
_cell_angle_beta 90.00
_cell_angle_gamma 120.00
loop_
_atom_site_label
_atom_site_type_symbol
_atom_site_fract_x
_atom_site_fract_y
_atom_site_fract_z
Cr1 Cr 0.0000 0.5000 0.0000
Cr2 Cr 0.3333 0.6667 0.5000
Au1 Au 0.0000 0.0000 0.5000
# electronic total energy	-8.7244	eV/atom